[1]
The following is a DFT calculation (PBE) of an optimized crystal structure of TaNiAg2.

Values from the calculation:
- energy above the lowest structure with this stoichiometry (meV per atom) = 257
- DOS(E_F) (states/eV per cell) = 3.3
- ρ (Mg/m³) = 11.862
- calculated formation energy (eV per atom) = 0.35

abc: 5.0277 5.0277 5.0277
angles: 134.45 134.45 66.38
Element x y z (fractional)
Ag1 0.0000 0.0000 0.0000
Ag2 0.5000 0.5000 0.0000
Ta1 0.7500 0.2500 0.5000
Ni1 0.2500 0.7500 0.5000

[2]
The following is a DFT calculation (PBE) of an optimized crystal structure of TaNiAg.

Values from the calculation:
- energy above the lowest structure with this stoichiometry (meV per atom) = 0
- DOS(E_F) (states/eV per cell) = 3.8
- ρ (Mg/m³) = 12.390
- calculated formation energy (eV per atom) = 0.11

abc: 6.1733 6.1737 2.8236
angles: 76.77 76.79 26.44
Element x y z (fractional)
Ta1 0.3184 0.3184 0.6816
Ni1 0.6715 0.6715 0.3285
Ag1 0.0101 0.0101 0.9899

[3]
The following is a DFT calculation (PBE) of an optimized crystal structure of Ta2NiAg.

Values from the calculation:
- energy above the lowest structure with this stoichiometry (meV per atom) = 652
- DOS(E_F) (states/eV per cell) = 6.9
- ρ (Mg/m³) = 12.493
- calculated formation energy (eV per atom) = 0.71

abc: 3.8117 3.8117 10.0377
angles: 79.05 79.05 90.00
Element x y z (fractional)
Ag1 0.0000 0.0000 0.0000
Ag2 0.7500 0.2500 0.5000
Ta1 0.3750 0.3824 0.7500
Ta2 0.6176 0.1250 0.2500
Ta3 0.8750 0.8676 0.7500
Ta4 0.1324 0.6250 0.2500
Ni1 0.2500 0.7500 0.5000
Ni2 0.5000 0.5000 0.0000

[4]
The following is a DFT calculation (PBE) of an optimized crystal structure of TaNiAg2.

Values from the calculation:
- energy above the lowest structure with this stoichiometry (meV per atom) = 178
- DOS(E_F) (states/eV per cell) = 2.9
- ρ (Mg/m³) = 11.769
- calculated formation energy (eV per atom) = 0.27

abc: 5.5934 5.5934 5.5934
angles: 150.49 131.35 57.93
Element x y z (fractional)
Ag1 0.5217 0.5217 0.0000
Ag2 0.9783 0.9783 0.0000
Ni1 0.7500 0.2500 0.5000
Ta1 0.2500 0.7500 0.5000